VASP calculation (PBE-GGA) on an optimized crystal structure of Ti2SiN.

E_form (uncorrected)   -1113.9 meV per atom

Cell: 2.9981 2.9981 6.7221 Å, 102.65 102.65 60.08°
Fractional positions:
1 Ti 0.2247 0.2247 0.1785
2 Ti 0.7753 0.7753 0.8215
3 Si 0.0000 0.0000 0.5000
4 N 0.5000 0.5000 0.0000

---

VASP calculation (PBE-GGA) on an optimized crystal structure of Rb2TlAgGe.

Calculated formation energy   225 meV/atom

Cell: 6.8182 6.8182 4.8601 Å, 90.00 90.00 90.00°
Fractional positions:
1 Rb 0.0000 0.5000 0.0000
2 Rb 0.5000 0.0000 0.0000
3 Tl 0.0000 0.0000 0.5000
4 Ag 0.5000 0.5000 0.5000
5 Ge 0.5000 0.5000 0.0000

---

VASP calculation (PBE-GGA) on an optimized crystal structure of CsNiCl2.

E_form (uncorrected)   -510.9 meV per atom
ΔE to the lowest computed polymorph   480 meV/atom

Cell: 9.0624 9.0624 9.0624 Å, 25.13 25.13 25.13°
Fractional positions:
1 Cs 0.0000 0.0000 0.0000
2 Ni 0.5000 0.5000 0.5000
3 Cl 0.1212 0.1212 0.1212
4 Cl 0.8788 0.8788 0.8788

---

VASP calculation (PBE-GGA) on an optimized crystal structure of Ho3Zr2Pb3.

Calculated formation energy   -435 meV/atom

Cell: 8.9228 8.9228 6.1614 Å, 90.00 90.00 120.00°
Fractional positions:
1 Ho 0.0000 0.2393 0.2500
2 Ho 0.0000 0.7607 0.7500
3 Ho 0.2393 0.0000 0.2500
4 Ho 0.2393 0.2393 0.7500
5 Ho 0.7607 0.0000 0.7500
6 Ho 0.7607 0.7607 0.2500
7 Zr 0.3333 0.6667 0.0000
8 Zr 0.3333 0.6667 0.5000
9 Zr 0.6667 0.3333 0.0000
10 Zr 0.6667 0.3333 0.5000
11 Pb 0.0000 0.3979 0.7500
12 Pb 0.0000 0.6021 0.2500
13 Pb 0.3979 0.0000 0.7500
14 Pb 0.3979 0.3979 0.2500
15 Pb 0.6021 0.0000 0.2500
16 Pb 0.6021 0.6021 0.7500

---

VASP calculation (PBE-GGA) on an optimized crystal structure of Pm8TcAg2.

ΔE to the lowest computed polymorph   0 meV/atom
Calculated formation energy   -56 meV/atom

Cell: 9.2416 9.2416 7.0943 Å, 105.82 105.82 33.45°
Fractional positions:
1 Pm 0.0232 0.0232 0.2884
2 Pm 0.1996 0.1996 0.8053
3 Pm 0.3418 0.3418 0.5285
4 Pm 0.4095 0.4095 0.0589
5 Pm 0.5905 0.5905 0.9411
6 Pm 0.6582 0.6582 0.4715
7 Pm 0.8004 0.8004 0.1947
8 Pm 0.9768 0.9768 0.7116
9 Tc 0.5000 0.5000 0.5000
10 Ag 0.1839 0.1839 0.2142
11 Ag 0.8161 0.8161 0.7858

---

VASP calculation (PBE-GGA) on an optimized crystal structure of HfBiCl6.

E_form (uncorrected)   -1353.2 meV per atom

Cell: 6.1914 7.0347 7.3021 Å, 118.08 102.82 94.48°
Fractional positions:
1 Hf 0.0000 0.0000 0.0000
2 Bi 0.5000 0.5000 0.0000
3 Cl 0.1315 0.6427 0.8487
4 Cl 0.1889 0.1050 0.7801
5 Cl 0.3321 0.1822 0.3048
6 Cl 0.6679 0.8178 0.6952
7 Cl 0.8111 0.8950 0.2199
8 Cl 0.8685 0.3573 0.1513